Record 1
VASP calculation (SCAN) on ZnCoHg2 at its PBEsol-relaxed geometry.

magnetic moment: 0.31 μB/atom
space group: Imm2
E_form: 0.2337 eV per atom
DOS at the Fermi energy: 1.7 states/eV/f.u.

Unit cell a=2.8502 b=4.3733 c=6.1328 alpha=110.89 beta=103.44 gamma=90.00
Closest atoms and distances in Å follow each position.
Positions (direct):
Zn: 0.5657 0.0657 0.1313  2 Co 2.43
Co: 0.2433 0.2433 0.4866  2 Zn 2.43, 6 Hg 2.61-2.69
Hg: 0.7421 0.7421 0.4843  4 Co 2.61, 2 Hg 2.85
Hg: 0.9489 0.4489 0.8978  2 Co 2.69, 2 Hg 2.85, 4 Zn 2.91

Record 2
VASP calculation (SCAN) on ZnCoHg2 at its PBEsol-relaxed geometry.

magnetic moment: 0.44 μB/atom
space group: F-43m
E_form: 0.3674 eV per atom
DOS at the Fermi energy: 0.9 states/eV/f.u.

Unit cell a=4.5171 b=4.5171 c=4.5171 alpha=60.00 beta=60.00 gamma=60.00
Closest atoms and distances in Å follow each position.
Positions (direct):
Co: 0.5000 0.5000 0.5000  4 Zn 2.77, 4 Hg 2.77
Hg: 0.7500 0.7500 0.7500  4 Hg 2.77, 4 Co 2.77
Hg: 0.0000 0.0000 0.0000  4 Hg 2.77, 4 Zn 2.77
Zn: 0.2500 0.2500 0.2500  4 Co 2.77, 4 Hg 2.77

Record 3
VASP calculation (SCAN) on ZnCoHg at its PBEsol-relaxed geometry.

magnetic moment: 0.00 μB/atom
space group: I4mm
E_form: 0.3680 eV per atom
DOS at the Fermi energy: 1.5 states/eV/f.u.

Unit cell a=2.9554 b=2.9554 c=5.3806 alpha=105.94 beta=105.94 gamma=90.00
Closest atoms and distances in Å follow each position.
Positions (direct):
Co: 0.9838 0.9838 0.9676  4 Zn 2.44, 4 Hg 2.72
Zn: 0.3573 0.3573 0.7146  4 Co 2.44
Hg: 0.6589 0.6589 0.3178  4 Co 2.72, 5 Zn 2.87-2.99, 4 Hg 2.96

Record 4
VASP calculation (SCAN) on ZnCoHg2 at its PBEsol-relaxed geometry.

magnetic moment: 0.42 μB/atom
space group: P4/mmm
E_form: 0.3734 eV per atom
DOS at the Fermi energy: 1.7 states/eV/f.u.

Unit cell a=3.0304 b=3.0304 c=7.0762 alpha=90.00 beta=90.00 gamma=90.07
Closest atoms and distances in Å follow each position.
Positions (direct):
Zn: 0.5000 0.5000 0.5000  8 Hg 2.85, 4 Zn 3.03
Co: 0.5000 0.5000 0.0000  8 Hg 2.71, 4 Co 3.03
Hg: 0.0000 0.0000 0.7661  4 Co 2.71, 4 Zn 2.85, 4 Hg 3.03
Hg: 0.0000 0.0000 0.2339  4 Co 2.71, 4 Zn 2.85, 4 Hg 3.03

Record 5
VASP calculation (SCAN) on ZrCoHg3 at its PBEsol-relaxed geometry.

magnetic moment: 0.40 μB/atom
space group: Pm-3m
E_form: 1.0489 eV per atom
DOS at the Fermi energy: 3.5 states/eV/f.u.

Unit cell a=5.3913 b=5.3913 c=5.3913 alpha=90.00 beta=90.00 gamma=90.00
Closest atoms and distances in Å follow each position.
Positions (direct):
Co: 0.5000 0.5000 0.5000  12 Hg 3.81
Zr: 0.0000 0.0000 0.0000  6 Hg 2.70
Hg: 0.0000 0.5000 0.0000  2 Zr 2.70
Hg: 0.0000 0.0000 0.5000  2 Zr 2.70
Hg: 0.5000 0.0000 0.0000  2 Zr 2.70

Record 6
VASP calculation (SCAN) on ZrCo3Hg at its PBEsol-relaxed geometry.

magnetic moment: 0.54 μB/atom
space group: Pm-3m
E_form: 1.4853 eV per atom
DOS at the Fermi energy: 2.6 states/eV/f.u.

Unit cell a=4.4338 b=4.4338 c=4.4338 alpha=90.00 beta=90.00 gamma=90.00
Closest atoms and distances in Å follow each position.
Positions (direct):
Co: 0.0000 0.0000 0.5000  2 Zr 2.22
Co: 0.0000 0.5000 0.0000  2 Zr 2.22
Zr: 0.0000 0.0000 0.0000  6 Co 2.22
Hg: 0.5000 0.5000 0.5000  12 Co 3.14
Co: 0.5000 0.0000 0.0000  2 Zr 2.22

Record 7
VASP calculation (SCAN) on Ho4Co3 at its PBEsol-relaxed geometry.

magnetic moment: 0.02 μB/atom
space group: P-3
E_form: -0.1011 eV per atom
DOS at the Fermi energy: 4.3 states/eV/f.u.

Unit cell a=3.9338 b=10.9914 c=10.9914 alpha=120.00 beta=90.00 gamma=90.00
Closest atoms and distances in Å follow each position.
Positions (direct):
Ho: 0.7484 0.8653 0.4857  7 Co 2.79-2.94
Ho: 0.2516 0.1347 0.5143  7 Co 2.79-2.94
Co: 0.7485 0.5628 0.8436  1 Co 2.29
Ho: 0.7505 0.7798 0.7540  4 Co 2.70-3.00
Co: 0.2469 0.6667 0.3333  3 Co 2.29
Co: 0.2515 0.7193 0.5628  1 Co 2.29
Co: 0.2515 0.4372 0.1564  1 Co 2.29
Co: 0.2515 0.8436 0.2807  1 Co 2.29
Co: 0.7485 0.2807 0.4372  1 Co 2.29
Co: 0.7531 0.3333 0.6667  3 Co 2.29
Co: 0.5000 0.0000 0.0000  6 Ho 2.76
Co: 0.7485 0.1564 0.7193  1 Co 2.29
Ho: 0.7505 0.9742 0.2202  4 Co 2.70-3.00
Ho: 0.7505 0.2460 0.0258  4 Co 2.70-3.00
Ho: 0.7484 0.6204 0.1347  7 Co 2.79-2.94
Ho: 0.2516 0.3796 0.8653  7 Co 2.79-2.94
Ho: 0.2516 0.4857 0.6204  7 Co 2.79-2.94
Ho: 0.2495 0.2202 0.2460  4 Co 2.70-3.00
Ho: 0.2495 0.7540 0.9742  4 Co 2.70-3.00
Ho: 0.2495 0.0258 0.7798  4 Co 2.70-3.00
Ho: 0.7484 0.5143 0.3796  7 Co 2.79-2.94

Record 8
VASP calculation (SCAN) on Ho2Co2I at its PBEsol-relaxed geometry.

E_form (uncorrected): -0.57 eV/atom
magnetic moment: 0.12 μB/atom
space group: P6_3/mmc
DOS at the Fermi energy: 4.7 states/eV/f.u.

Unit cell a=3.8625 b=3.8625 c=16.5136 alpha=90.00 beta=90.00 gamma=120.00
Closest atoms and distances in Å follow each position.
Positions (direct):
Co: 0.6667 0.3333 0.4985  3 Co 2.23
Ho: 0.0000 0.0000 0.8958  6 Co 2.80-2.83
Ho: 0.0000 0.0000 0.1042  6 Co 2.80-2.83
Co: 0.3333 0.6667 0.5015  3 Co 2.23
Ho: 0.0000 0.0000 0.6042  6 Co 2.80-2.83
Ho: 0.0000 0.0000 0.3958  6 Co 2.80-2.83
Co: 0.3333 0.6667 0.9985  3 Co 2.23
I: 0.6667 0.3333 0.7500  6 Ho 3.28
I: 0.3333 0.6667 0.2500  6 Ho 3.28
Co: 0.6667 0.3333 0.0015  3 Co 2.23